Record 1
A plane-wave DFT calculation with PBE-GGA was carried out for crystalline UAlCoTc at its relaxed geometry.

Properties
total energy = -8.32 eV per atom
total moment = 0.3254 μB/atom
DFT formation energy = -0.19 eV per atom

Structure (CIF):
```
data_UAlCoTc
_symmetry_space_group_name_H-M 'P 1'
_symmetry_Int_Tables_number 1
_symmetry_space_group_name_Hall 'P 1'
_cell_length_a 4.493
_cell_length_b 4.493
_cell_length_c 4.493
_cell_angle_alpha 60.00
_cell_angle_beta 60.00
_cell_angle_gamma 60.00
loop_
_atom_site_label
_atom_site_type_symbol
_atom_site_fract_x
_atom_site_fract_y
_atom_site_fract_z
Co1 Co 0.000 0.000 0.000
U1 U 0.250 0.250 0.250
Tc1 Tc 0.500 0.500 0.500
Al1 Al 0.750 0.750 0.750
```

---

Record 2
A plane-wave DFT calculation with PBE-GGA was carried out for crystalline ReHg3Pb at its relaxed geometry.

Properties
total energy = -2.57 eV per atom
total moment = 0.1253 μB/atom
DFT formation energy = 0.84 eV per atom
energy above the most stable polymorph in this dataset = 0.0 meV per atom

Structure (CIF):
```
data_ReHg3Pb
_symmetry_space_group_name_H-M 'P 1'
_symmetry_Int_Tables_number 1
_symmetry_space_group_name_Hall 'P 1'
_cell_length_a 5.270
_cell_length_b 5.270
_cell_length_c 5.270
_cell_angle_alpha 90.00
_cell_angle_beta 90.00
_cell_angle_gamma 90.00
loop_
_atom_site_label
_atom_site_type_symbol
_atom_site_fract_x
_atom_site_fract_y
_atom_site_fract_z
Re1 Re 0.000 0.000 0.000
Hg1 Hg 0.500 0.000 0.000
Hg2 Hg 0.000 0.000 0.500
Hg3 Hg 0.000 0.500 0.000
Pb1 Pb 0.500 0.500 0.500
```

---

Record 3
A plane-wave DFT calculation with PBE-GGA was carried out for crystalline KRu2Rh at its relaxed geometry.

Properties
total energy = -6.11 eV per atom
total moment = 0.0000 μB/atom
DFT formation energy = 0.64 eV per atom
energy above the most stable polymorph in this dataset = 42.9 meV per atom

Structure (CIF):
```
data_KRu2Rh
_symmetry_space_group_name_H-M 'P 1'
_symmetry_Int_Tables_number 1
_symmetry_space_group_name_Hall 'P 1'
_cell_length_a 3.779
_cell_length_b 2.714
_cell_length_c 8.196
_cell_angle_alpha 70.54
_cell_angle_beta 90.00
_cell_angle_gamma 90.00
loop_
_atom_site_label
_atom_site_type_symbol
_atom_site_fract_x
_atom_site_fract_y
_atom_site_fract_z
Ru1 Ru 0.500 0.339 0.159
Rh1 Rh 0.500 0.672 0.830
K1 K 0.000 0.495 0.504
Ru2 Ru 0.000 0.994 0.006
```

---

Record 4
A plane-wave DFT calculation with PBE-GGA was carried out for crystalline AlTcNi2 at its relaxed geometry.

Properties
total energy = -6.71 eV per atom
total moment = 0.0000 μB/atom
DFT formation energy = -0.29 eV per atom

Structure (CIF):
```
data_AlTcNi2
_symmetry_space_group_name_H-M 'P 1'
_symmetry_Int_Tables_number 1
_symmetry_space_group_name_Hall 'P 1'
_cell_length_a 2.667
_cell_length_b 2.667
_cell_length_c 6.933
_cell_angle_alpha 90.00
_cell_angle_beta 90.00
_cell_angle_gamma 90.00
loop_
_atom_site_label
_atom_site_type_symbol
_atom_site_fract_x
_atom_site_fract_y
_atom_site_fract_z
Al1 Al 0.500 0.500 0.750
Tc1 Tc 0.500 0.500 0.250
Ni1 Ni 0.000 0.000 0.513
Ni2 Ni 0.000 0.000 0.987
```

---

Record 5
A plane-wave DFT calculation with PBE-GGA was carried out for crystalline Li4Zn3Pd at its relaxed geometry.

Properties
total energy = -2.35 eV per atom
total moment = 0.0000 μB/atom
DFT formation energy = -0.27 eV per atom
energy above the most stable polymorph in this dataset = 0.0 meV per atom

Structure (CIF):
```
data_Li4Zn3Pd
_symmetry_space_group_name_H-M 'P 1'
_symmetry_Int_Tables_number 1
_symmetry_space_group_name_Hall 'P 1'
_cell_length_a 3.791
_cell_length_b 4.054
_cell_length_c 8.300
_cell_angle_alpha 75.78
_cell_angle_beta 103.20
_cell_angle_gamma 90.00
loop_
_atom_site_label
_atom_site_type_symbol
_atom_site_fract_x
_atom_site_fract_y
_atom_site_fract_z
Zn1 Zn 0.000 0.500 0.000
Li1 Li 0.254 0.246 0.509
Li2 Li 0.383 0.617 0.767
Pd1 Pd 0.500 0.000 0.000
Zn2 Zn 0.120 0.880 0.241
Li3 Li 0.617 0.383 0.233
Zn3 Zn 0.880 0.120 0.759
Li4 Li 0.746 0.754 0.491
```

---

Record 6
A plane-wave DFT calculation with PBE-GGA was carried out for crystalline HIrOs2W at its relaxed geometry.

Properties
total energy = -9.47 eV per atom
total moment = 0.0000 μB/atom
energy above the most stable polymorph in this dataset = 24.5 meV per atom

Structure (CIF):
```
data_HIrOs2W
_symmetry_space_group_name_H-M 'P 1'
_symmetry_Int_Tables_number 1
_symmetry_space_group_name_Hall 'P 1'
_cell_length_a 3.918
_cell_length_b 3.918
_cell_length_c 3.978
_cell_angle_alpha 90.00
_cell_angle_beta 90.00
_cell_angle_gamma 90.00
loop_
_atom_site_label
_atom_site_type_symbol
_atom_site_fract_x
_atom_site_fract_y
_atom_site_fract_z
H1 H 0.000 0.000 0.000
W1 W 0.000 0.000 0.500
Os1 Os 0.500 0.000 0.000
Os2 Os 0.000 0.500 0.000
Ir1 Ir 0.500 0.500 0.500
```

---

Record 7
A plane-wave DFT calculation with PBE-GGA was carried out for crystalline PrBiPd2 at its relaxed geometry.

Properties
total energy = -5.36 eV per atom
total moment = 0.0000 μB/atom
DFT formation energy = -0.60 eV per atom
energy above the most stable polymorph in this dataset = 107.6 meV per atom

Structure (CIF):
```
data_PrBiPd2
_symmetry_space_group_name_H-M 'P 1'
_symmetry_Int_Tables_number 1
_symmetry_space_group_name_Hall 'P 1'
_cell_length_a 4.790
_cell_length_b 3.756
_cell_length_c 10.635
_cell_angle_alpha 100.17
_cell_angle_beta 90.00
_cell_angle_gamma 90.00
loop_
_atom_site_label
_atom_site_type_symbol
_atom_site_fract_x
_atom_site_fract_y
_atom_site_fract_z
Pr1 Pr 0.250 0.918 0.835
Pd1 Pd 0.750 0.730 0.460
Pd2 Pd 0.750 0.466 0.933
Pd3 Pd 0.250 0.270 0.540
Pd4 Pd 0.250 0.534 0.067
Pr2 Pr 0.750 0.082 0.165
Bi1 Bi 0.750 0.332 0.665
Bi2 Bi 0.250 0.668 0.335
```

---

Record 8
A plane-wave DFT calculation with PBE-GGA was carried out for crystalline Ca2Ir at its relaxed geometry.

Properties
total energy = -4.56 eV per atom
total moment = 0.0000 μB/atom
DFT formation energy = -0.27 eV per atom

Structure (CIF):
```
data_Ca2Ir
_symmetry_space_group_name_H-M 'P 1'
_symmetry_Int_Tables_number 1
_symmetry_space_group_name_Hall 'P 1'
_cell_length_a 4.307
_cell_length_b 7.736
_cell_length_c 7.736
_cell_angle_alpha 120.00
_cell_angle_beta 90.00
_cell_angle_gamma 90.00
loop_
_atom_site_label
_atom_site_type_symbol
_atom_site_fract_x
_atom_site_fract_y
_atom_site_fract_z
Ca1 Ca 0.500 0.000 0.589
Ir1 Ir 0.000 0.333 0.667
Ca2 Ca 0.000 0.257 0.000
Ca3 Ca 0.000 0.743 0.743
Ir2 Ir 0.000 0.667 0.333
Ca4 Ca 0.000 0.000 0.257
Ir3 Ir 0.500 0.000 0.000
Ca5 Ca 0.500 0.589 0.000
Ca6 Ca 0.500 0.411 0.411
```

---

Record 9
A plane-wave DFT calculation with PBE-GGA was carried out for crystalline Tl2CrMo at its relaxed geometry.

Properties
total energy = -5.47 eV per atom
total moment = 1.0539 μB/atom
DFT formation energy = 0.83 eV per atom
energy above the most stable polymorph in this dataset = 326.6 meV per atom

Structure (CIF):
```
data_Tl2CrMo
_symmetry_space_group_name_H-M 'P 1'
_symmetry_Int_Tables_number 1
_symmetry_space_group_name_Hall 'P 1'
_cell_length_a 3.052
_cell_length_b 3.052
_cell_length_c 8.842
_cell_angle_alpha 90.00
_cell_angle_beta 90.00
_cell_angle_gamma 102.50
loop_
_atom_site_label
_atom_site_type_symbol
_atom_site_fract_x
_atom_site_fract_y
_atom_site_fract_z
Tl1 Tl 0.000 0.000 0.001
Cr1 Cr 0.500 0.500 0.250
Tl2 Tl 0.000 0.000 0.499
Mo1 Mo 0.500 0.500 0.750
```

---

Record 10
A plane-wave DFT calculation with PBE-GGA was carried out for crystalline YAsBr2 at its relaxed geometry.

Properties
total energy = -4.24 eV per atom
total moment = 0.0000 μB/atom
formation energy from raw total energies = -14.4 kcal/mol of atoms
energy above the most stable polymorph in this dataset = 495.4 meV per atom

Structure (CIF):
```
data_YAsBr2
_symmetry_space_group_name_H-M 'P 1'
_symmetry_Int_Tables_number 1
_symmetry_space_group_name_Hall 'P 1'
_cell_length_a 5.940
_cell_length_b 5.940
_cell_length_c 5.940
_cell_angle_alpha 137.09
_cell_angle_beta 137.09
_cell_angle_gamma 62.30
loop_
_atom_site_label
_atom_site_type_symbol
_atom_site_fract_x
_atom_site_fract_y
_atom_site_fract_z
Br1 Br 0.000 0.000 0.000
Br2 Br 0.250 0.750 0.500
As1 As 0.750 0.250 0.500
Y1 Y 0.500 0.500 0.000
```

---

Record 11
A plane-wave DFT calculation with PBE-GGA was carried out for crystalline Pm2ZnSb at its relaxed geometry.

Properties
total energy = -4.30 eV per atom
total moment = 0.0000 μB/atom
formation energy from raw total energies = -13.3 kcal/mol of atoms
energy above the most stable polymorph in this dataset = 63.3 meV per atom

Structure (CIF):
```
data_Pm2ZnSb
_symmetry_space_group_name_H-M 'P 1'
_symmetry_Int_Tables_number 1
_symmetry_space_group_name_Hall 'P 1'
_cell_length_a 5.322
_cell_length_b 5.322
_cell_length_c 5.322
_cell_angle_alpha 60.00
_cell_angle_beta 60.00
_cell_angle_gamma 60.00
loop_
_atom_site_label
_atom_site_type_symbol
_atom_site_fract_x
_atom_site_fract_y
_atom_site_fract_z
Zn1 Zn 0.500 0.500 0.500
Pm1 Pm 0.750 0.750 0.750
Pm2 Pm 0.250 0.250 0.250
Sb1 Sb 0.000 0.000 0.000
```

---

Record 12
A plane-wave DFT calculation with PBE-GGA was carried out for crystalline MgC4O6 at its relaxed geometry.

Properties
total energy = -6.54 eV per atom
total moment = 0.3672 μB/atom
formation energy from raw total energies = -7.7 kcal/mol of atoms

Structure (CIF):
```
data_MgC4O6
_symmetry_space_group_name_H-M 'P 1'
_symmetry_Int_Tables_number 1
_symmetry_space_group_name_Hall 'P 1'
_cell_length_a 8.369
_cell_length_b 8.369
_cell_length_c 6.951
_cell_angle_alpha 64.52
_cell_angle_beta 64.52
_cell_angle_gamma 47.19
loop_
_atom_site_label
_atom_site_type_symbol
_atom_site_fract_x
_atom_site_fract_y
_atom_site_fract_z
O1 O 0.775 0.826 0.551
C1 C 0.728 0.013 0.536
O2 O 0.605 0.124 0.683
O3 O 0.225 0.174 0.449
O4 O 0.470 0.194 0.152
O5 O 0.124 0.605 0.183
O6 O 0.174 0.225 0.949
O7 O 0.395 0.876 0.317
C2 C 0.176 0.902 0.666
O8 O 0.826 0.775 0.051
O9 O 0.194 0.470 0.652
C3 C 0.013 0.728 0.036
C4 C 0.098 0.824 0.834
C5 C 0.987 0.272 0.964
O10 O 0.806 0.530 0.348
Mg1 Mg 0.000 0.500 0.500
C6 C 0.902 0.176 0.166
O11 O 0.876 0.395 0.817
O12 O 0.530 0.806 0.848
C7 C 0.824 0.098 0.334
C8 C 0.272 0.987 0.464
Mg2 Mg 0.500 0.000 0.000
```

---

Record 13
A plane-wave DFT calculation with PBE-GGA was carried out for crystalline HoPaInPb at its relaxed geometry.

Properties
total energy = -5.18 eV per atom
total moment = 0.4743 μB/atom
DFT formation energy = -0.05 eV per atom

Structure (CIF):
```
data_HoPaInPb
_symmetry_space_group_name_H-M 'P 1'
_symmetry_Int_Tables_number 1
_symmetry_space_group_name_Hall 'P 1'
_cell_length_a 5.370
_cell_length_b 5.370
_cell_length_c 5.370
_cell_angle_alpha 60.00
_cell_angle_beta 60.00
_cell_angle_gamma 60.00
loop_
_atom_site_label
_atom_site_type_symbol
_atom_site_fract_x
_atom_site_fract_y
_atom_site_fract_z
In1 In 0.750 0.750 0.750
Ho1 Ho 0.000 0.000 0.000
Pb1 Pb 0.250 0.250 0.250
Pa1 Pa 0.500 0.500 0.500
```

---

Record 14
A plane-wave DFT calculation with PBE-GGA was carried out for crystalline CsRbCd2Au at its relaxed geometry.

Properties
total energy = -1.46 eV per atom
total moment = 0.0000 μB/atom
DFT formation energy = -0.08 eV per atom
energy above the most stable polymorph in this dataset = 25.2 meV per atom

Structure (CIF):
```
data_CsRbCd2Au
_symmetry_space_group_name_H-M 'P 1'
_symmetry_Int_Tables_number 1
_symmetry_space_group_name_Hall 'P 1'
_cell_length_a 5.587
_cell_length_b 5.587
_cell_length_c 6.405
_cell_angle_alpha 90.00
_cell_angle_beta 90.00
_cell_angle_gamma 90.00
loop_
_atom_site_label
_atom_site_type_symbol
_atom_site_fract_x
_atom_site_fract_y
_atom_site_fract_z
Cs1 Cs 0.500 0.500 0.500
Cd1 Cd 0.500 0.000 0.000
Rb1 Rb 0.000 0.000 0.500
Au1 Au 0.000 0.000 0.000
Cd2 Cd 0.000 0.500 0.000
```